A plane-wave DFT calculation with PBE was carried out for a relaxed TaPb2 crystal.

DFT formation energy in eV per atom: 0.461
Total energy in Ry per atom: -0.43819
Space-group type: C2/m (12)

Unit cell a=5.7966 b=5.7966 c=9.3526 alpha=99.15 beta=99.15 gamma=31.34
With the nearest neighbours (Å) after each atom.
Atoms (fractional coordinates):
Ta  0.0789  0.0789  0.1264  1 Ta 2.70, 1 Pb 2.97
Ta  0.9211  0.9211  0.8736  1 Ta 2.70, 1 Pb 2.97
Pb  0.3471  0.3471  0.1491  5 Ta 2.97-3.24, 2 Pb 3.13
Pb  0.3866  0.3866  0.5857  2 Ta 3.08, 3 Pb 3.13-3.21
Pb  0.6134  0.6134  0.4143  2 Ta 3.08, 3 Pb 3.13-3.21
Pb  0.6529  0.6529  0.8509  5 Ta 2.97-3.24, 2 Pb 3.13


A plane-wave DFT calculation with PBE was carried out for a relaxed Gd2CoSe crystal.

Total energy in Ry per atom: -0.76971
Space-group type: P4/mmm (123)
E_form (uncorrected) in meV/atom: -784

Unit cell a=3.4990 b=3.4990 c=7.0853 alpha=90.00 beta=90.00 gamma=90.00
With the nearest neighbours (Å) after each atom.
Atoms (fractional coordinates):
Gd  0.0000  0.0000  0.2340  4 Co 2.98, 4 Se 3.11, 1 Gd 3.32
Gd  0.0000  0.0000  0.7660  4 Co 2.98, 4 Se 3.11, 1 Gd 3.32
Co  0.5000  0.5000  0.0000  8 Gd 2.98
Se  0.5000  0.5000  0.5000  8 Gd 3.11